(1)
# Tm7In2Hg2

Crystalline Tm7In2Hg2 at its relaxed geometry (PBE-GGA, Alexandria via LeMat-Bulk).

As for the magnetization: 0.0 μB/f.u. As for the formation energy: -0.90 eV/f.u.

The structure belongs to space group Cmmm (No. 65); the cell edges are 7.934, 11.039 and 7.499 Å and the angles 90.00°, 90.00° and 90.00°. The inequivalent atoms are Tm at (0.000, 0.000, 0.000), Tm at (0.000, 0.500, 0.257), Tm at (0.250, 0.250, 0.280), In at (0.179, 0.000, 0.500) and Hg at (0.000, 0.290, 0.000).

=====

(2)
# MgSc4Cu2Ag

Crystalline MgSc4Cu2Ag at its relaxed geometry (PBE-GGA, Alexandria via LeMat-Bulk).

As for the magnetization: 0.0 μB/f.u. As for the formation energy: -1.34 eV/f.u.

The structure belongs to space group R-3m (No. 166, hexagonal axes); the cell edges are 4.7805, 4.7805 and 23.5782 Å and the angles 90.00°, 90.00° and 120.00°. The inequivalent atoms are Mg at (0.0000, 0.0000, 0.0000), Sc at (0.0000, 0.0000, 0.1272), Sc at (0.0000, 0.0000, 0.3786), Cu at (0.0000, 0.0000, 0.2585) and Ag at (0.0000, 0.0000, 0.5000).

=====

(3)
# Y3Tl3Ag2

Crystalline Y3Tl3Ag2 at its relaxed geometry (PBE-GGA, Alexandria via LeMat-Bulk).

As for the magnetization: 0.0 μB/f.u. As for the formation energy: -2.46 eV/f.u.

The structure belongs to space group P-62m (No. 189); the cell edges are 7.9035, 7.9035 and 3.7939 Å and the angles 90.00°, 90.00° and 120.00°. The inequivalent atoms are Y at (0.0000, 0.6035, 0.0000), Tl at (0.0000, 0.2461, 0.5000) and Ag at (0.3333, 0.6667, 0.5000).

=====

(4)
# AlPbCl2

Crystalline AlPbCl2 at its relaxed geometry (PBE-GGA, Alexandria via LeMat-Bulk).

Its energy above the most stable polymorph in this dataset is 0.153 eV per atom. Its energy relative to the elements, uncorrected is -0.439 eV/atom. As for the magnetization: 0.0 μB/f.u.

The structure belongs to space group P2/m (No. 10); the cell edges are 3.619, 4.562 and 6.107 Å and the angles 90.00°, 94.16° and 90.00°. The inequivalent atoms are Al at (0.000, 0.000, 0.000), Pb at (0.500, 0.000, 0.500) and Cl at (0.231, 0.500, 0.758).

=====

What did the fourth record say?
# AlPbCl2

Crystalline AlPbCl2 at its relaxed geometry (PBE-GGA, Alexandria via LeMat-Bulk).

Its energy above the most stable polymorph in this dataset is 0.153 eV per atom. Its energy relative to the elements, uncorrected is -0.439 eV/atom. As for the magnetization: 0.0 μB/f.u.

The structure belongs to space group P2/m (No. 10); the cell edges are 3.619, 4.562 and 6.107 Å and the angles 90.00°, 94.16° and 90.00°. The inequivalent atoms are Al at (0.000, 0.000, 0.000), Pb at (0.500, 0.000, 0.500) and Cl at (0.231, 0.500, 0.758).